LiTaMo2 | GGA-PBE | relaxed

* ΔE_f: 20.8 kJ per mole of atoms
* V: 66 Å³ per cell
* space-group type: No. 65
* total magnetic moment: 0.0 μB per cell
* energy relative to the lowest polymorph listed for this composition: 0.004 eV per atom

a = 2.7143 Å, b = 2.7143 Å, c = 9.3688 Å
α = 90.00°, β = 90.00°, γ = 107.73°
Closest atoms and distances in Å follow each position.
Fractional coordinates of all 4 atoms:
Li: 0.5000 0.5000 0.7500  4 Li 2.71, 4 Mo 2.86
Mo: 0.0000 0.0000 0.0026  4 Mo 2.71, 2 Ta 2.82, 2 Li 2.86
Mo: 0.0000 0.0000 0.4974  4 Mo 2.71, 2 Ta 2.82, 2 Li 2.86
Ta: 0.5000 0.5000 0.2500  4 Ta 2.71, 4 Mo 2.82